A geometry-optimized NaLiIrF6 structure, computed with PBE-GGA.

a = 5.2999 Å, b = 5.2999 Å, c = 9.9120 Å
α = 90.00°, β = 90.00°, γ = 120.00°
Positions (direct):
Na 0.0000 0.0000 0.0000
Na 0.0000 0.0000 0.5000
Li 0.3333 0.6667 0.2500
Li 0.6667 0.3333 0.7500
Ir 0.3333 0.6667 0.7500
Ir 0.6667 0.3333 0.2500
F 0.0149 0.3624 0.6414
F 0.0149 0.6526 0.8586
F 0.3474 0.3624 0.8586
F 0.3474 0.9851 0.6414
F 0.3624 0.0149 0.1414
F 0.3624 0.3474 0.3586
F 0.6376 0.6526 0.6414
F 0.6376 0.9851 0.8586
F 0.6526 0.0149 0.3586
F 0.6526 0.6376 0.1414
F 0.9851 0.3474 0.1414
F 0.9851 0.6376 0.3586

Volume = 13.40 Å³ per atom
VASP energy = -85.4 eV for the cell shown
Mass density = 4.63 Mg/m³
Formation energy without anion corrections = -2152 meV/atom
Size of the total moment = 2.02 μB/cell